[1]
# Hf4Co2Au PBE-GGA optimized geometry
# D(E_F), states/eV/f.u.: 4.1
# ρ, Mg/m³: 12.52
# Formation energy, eV per atom: -0.213
data_Hf4Co2Au
_cell_length_a 4.1575
_cell_length_b 4.1575
_cell_length_c 27.3467
_cell_angle_alpha 90.00
_cell_angle_beta 90.00
_cell_angle_gamma 120.00
_symmetry_space_group_name_H-M 'R -3 m'
_symmetry_Int_Tables_number 166
_symmetry_space_group_name_Hall '-R 3 2"'
loop_
_atom_site_label
_atom_site_type_symbol
_atom_site_fract_x
_atom_site_fract_y
_atom_site_fract_z
Hf1 Hf 0.0000 0.0000 0.1094
Hf2 Hf 0.0000 0.0000 0.2988
Co1 Co 0.0000 0.0000 0.4007
Au1 Au 0.0000 0.0000 0.5000



[2]
# BePPt2 PBE-GGA optimized geometry
# D(E_F), states/eV/f.u.: 1.5
# ρ, Mg/m³: 13.21
# Distance to the lowest polymorph of the same formula, meV per atom: 295
# Formation energy, eV per atom: -0.177
data_BePPt2
_cell_length_a 3.535
_cell_length_b 3.535
_cell_length_c 8.654
_cell_angle_alpha 90.00
_cell_angle_beta 90.00
_cell_angle_gamma 90.00
_symmetry_space_group_name_H-M 'I -4 m 2'
_symmetry_Int_Tables_number 119
_symmetry_space_group_name_Hall 'I -4 -2'
loop_
_atom_site_label
_atom_site_type_symbol
_atom_site_fract_x
_atom_site_fract_y
_atom_site_fract_z
Be1 Be 0.000 0.000 0.000
P1 P 0.000 0.500 0.750
Pt1 Pt 0.000 0.000 0.500
Pt2 Pt 0.000 0.500 0.250



[3]
# TaZn2Se PBE-GGA optimized geometry
# D(E_F), states/eV/f.u.: 0.9
# ρ, Mg/m³: 9.66
# Energy relative to the elements, uncorrected, eV per atom: 0.319
data_TaZn2Se
_cell_length_a 6.452
_cell_length_b 6.452
_cell_length_c 6.452
_cell_angle_alpha 90.00
_cell_angle_beta 90.00
_cell_angle_gamma 90.00
_symmetry_space_group_name_H-M 'F -4 3 m'
_symmetry_Int_Tables_number 216
_symmetry_space_group_name_Hall 'F -4 2 3'
loop_
_atom_site_label
_atom_site_type_symbol
_atom_site_fract_x
_atom_site_fract_y
_atom_site_fract_z
Ta1 Ta 0.000 0.000 0.000
Zn1 Zn 0.000 0.000 0.500
Zn2 Zn 0.250 0.250 0.750
Se1 Se 0.250 0.250 0.250



[4]
# RbHoNpO6 PBE-GGA optimized geometry
# D(E_F), states/eV/f.u.: 7.7
# ρ, Mg/m³: 5.38
# Energy relative to the elements, uncorrected, eV per atom: -2.496
data_RbHoNpO6
_cell_length_a 5.8624
_cell_length_b 5.8624
_cell_length_c 6.0444
_cell_angle_alpha 90.00
_cell_angle_beta 90.00
_cell_angle_gamma 120.00
_symmetry_space_group_name_H-M 'P 3 1 2'
_symmetry_Int_Tables_number 149
loop_
_symmetry_equiv_pos_as_xyz
'x,y,z'
'-y,x-y,z'
'-x+y,-x,z'
'-y,-x,-z'
'-x+y,y,-z'
'x,x-y,-z'
loop_
_atom_site_label
_atom_site_type_symbol
_atom_site_fract_x
_atom_site_fract_y
_atom_site_fract_z
Rb1 Rb 0.0000 0.0000 0.0000
Ho1 Ho 0.3333 0.6667 0.5000
Np1 Np 0.6667 0.3333 0.5000
O1 O 0.3996 0.0321 0.6816



[5]
# SrLiNdCd PBE-GGA optimized geometry
# D(E_F), states/eV/f.u.: 3.3
# ρ, Mg/m³: 4.73
# Formation energy, eV per atom: -0.104
data_SrLiNdCd
_cell_length_a 7.903
_cell_length_b 7.903
_cell_length_c 7.903
_cell_angle_alpha 90.00
_cell_angle_beta 90.00
_cell_angle_gamma 90.00
_symmetry_space_group_name_H-M 'F -4 3 m'
_symmetry_Int_Tables_number 216
_symmetry_space_group_name_Hall 'F -4 2 3'
loop_
_atom_site_label
_atom_site_type_symbol
_atom_site_fract_x
_atom_site_fract_y
_atom_site_fract_z
Sr1 Sr 0.000 0.000 0.000
Li1 Li 0.250 0.250 0.750
Nd1 Nd 0.000 0.000 0.500
Cd1 Cd 0.250 0.250 0.250



[6]
# Na12Cu3F5 PBE-GGA optimized geometry
# D(E_F), states/eV/f.u.: 5.2
# ρ, Mg/m³: 2.11
# Energy relative to the elements, uncorrected, eV per atom: -1.104
data_Na12Cu3F5
_cell_length_a 15.229
_cell_length_b 15.229
_cell_length_c 15.229
_cell_angle_alpha 90.00
_cell_angle_beta 90.00
_cell_angle_gamma 90.00
_symmetry_space_group_name_H-M 'I a -3 d'
_symmetry_Int_Tables_number 230
_symmetry_space_group_name_Hall '-I 4bd 2c 3'
loop_
_atom_site_label
_atom_site_type_symbol
_atom_site_fract_x
_atom_site_fract_y
_atom_site_fract_z
Na1 Na 0.033 0.051 0.648
Cu1 Cu 0.000 0.250 0.125
F1 F 0.000 0.000 0.000
F2 F 0.000 0.250 0.375



[7]
# Ta3NiRu PBE-GGA optimized geometry
# D(E_F), states/eV/f.u.: 6.2
# ρ, Mg/m³: 10.90
# Distance to the lowest polymorph of the same formula, meV per atom: 354
# Formation energy, eV per atom: 1.332
data_Ta3NiRu
_cell_length_a 4.748
_cell_length_b 4.748
_cell_length_c 4.748
_cell_angle_alpha 90.00
_cell_angle_beta 90.00
_cell_angle_gamma 90.00
_symmetry_space_group_name_H-M 'P m -3 m'
_symmetry_Int_Tables_number 221
_symmetry_space_group_name_Hall '-P 4 2 3'
loop_
_atom_site_label
_atom_site_type_symbol
_atom_site_fract_x
_atom_site_fract_y
_atom_site_fract_z
Ta1 Ta 0.000 0.000 0.500
Ni1 Ni 0.500 0.500 0.500
Ru1 Ru 0.000 0.000 0.000



[8]
# RbBeVTe3 PBE-GGA optimized geometry
# ρ, Mg/m³: 4.78
# Energy relative to the elements, uncorrected, eV per atom: -0.519
data_RbBeVTe3
_cell_length_a 9.834
_cell_length_b 4.066
_cell_length_c 10.152
_cell_angle_alpha 90.00
_cell_angle_beta 115.42
_cell_angle_gamma 90.00
_symmetry_space_group_name_H-M 'P 1 21/m 1'
_symmetry_Int_Tables_number 11
loop_
_symmetry_equiv_pos_as_xyz
'x,y,z'
'-x,-y,-z'
'-x,y+1/2,-z'
'x,-y+1/2,z'
loop_
_atom_site_label
_atom_site_type_symbol
_atom_site_fract_x
_atom_site_fract_y
_atom_site_fract_z
Rb1 Rb 0.194 0.250 0.234
Be1 Be 0.078 0.250 0.591
V1 V 0.359 0.750 0.876
Te1 Te 0.150 0.250 0.851
Te2 Te 0.204 0.750 0.550
Te3 Te 0.472 0.750 0.166



[9]
# BaHgBiAs PBE-GGA optimized geometry
# D(E_F), states/eV/f.u.: 3.5
# ρ, Mg/m³: 8.48
# Formation energy, eV per atom: -0.371
data_BaHgBiAs
_cell_length_a 7.868
_cell_length_b 7.868
_cell_length_c 7.868
_cell_angle_alpha 90.00
_cell_angle_beta 90.00
_cell_angle_gamma 90.00
_symmetry_space_group_name_H-M 'F -4 3 m'
_symmetry_Int_Tables_number 216
_symmetry_space_group_name_Hall 'F -4 2 3'
loop_
_atom_site_label
_atom_site_type_symbol
_atom_site_fract_x
_atom_site_fract_y
_atom_site_fract_z
Ba1 Ba 0.000 0.000 0.000
Hg1 Hg 0.250 0.250 0.750
Bi1 Bi 0.000 0.000 0.500
As1 As 0.250 0.250 0.250



[10]
# YHf3Cu PBE-GGA optimized geometry
# D(E_F), states/eV/f.u.: 7.7
# ρ, Mg/m³: 9.31
# Distance to the lowest polymorph of the same formula, meV per atom: 0
# Formation energy, eV per atom: 0.449
data_YHf3Cu
_cell_length_a 4.969
_cell_length_b 4.969
_cell_length_c 4.969
_cell_angle_alpha 90.00
_cell_angle_beta 90.00
_cell_angle_gamma 90.00
_symmetry_space_group_name_H-M 'P m -3 m'
_symmetry_Int_Tables_number 221
_symmetry_space_group_name_Hall '-P 4 2 3'
loop_
_atom_site_label
_atom_site_type_symbol
_atom_site_fract_x
_atom_site_fract_y
_atom_site_fract_z
Y1 Y 0.000 0.000 0.000
Hf1 Hf 0.000 0.500 0.500
Cu1 Cu 0.500 0.500 0.500



[11]
# BaFe2CuCl8 PBE-GGA optimized geometry
# D(E_F), states/eV/f.u.: 8.4
# ρ, Mg/m³: 3.21
# Energy relative to the elements, uncorrected, eV per atom: -1.109
data_BaFe2CuCl8
_cell_length_a 6.4085
_cell_length_b 6.4085
_cell_length_c 8.6733
_cell_angle_alpha 90.00
_cell_angle_beta 90.00
_cell_angle_gamma 120.00
_symmetry_space_group_name_H-M 'P -3'
_symmetry_Int_Tables_number 147
loop_
_symmetry_equiv_pos_as_xyz
'x,y,z'
'-x,-y,-z'
'-y,x-y,z'
'y,-x+y,-z'
'-x+y,-x,z'
'x-y,x,-z'
loop_
_atom_site_label
_atom_site_type_symbol
_atom_site_fract_x
_atom_site_fract_y
_atom_site_fract_z
Ba1 Ba 0.0000 0.0000 0.0000
Fe1 Fe 0.3333 0.6667 0.7387
Cu1 Cu 0.0000 0.0000 0.5000
Cl1 Cl 0.0092 0.3094 0.6788
Cl2 Cl 0.3333 0.6667 0.9998



[12]
# YTeP2 PBE-GGA optimized geometry
# D(E_F), states/eV/f.u.: 1.5
# ρ, Mg/m³: 5.28
# Energy relative to the elements, uncorrected, eV per atom: -0.352
data_YTeP2
_cell_length_a 3.755
_cell_length_b 4.202
_cell_length_c 5.546
_cell_angle_alpha 90.00
_cell_angle_beta 90.00
_cell_angle_gamma 90.00
_symmetry_space_group_name_H-M 'P m m m'
_symmetry_Int_Tables_number 47
loop_
_symmetry_equiv_pos_as_xyz
'x,y,z'
'-x,-y,-z'
'-x,-y,z'
'x,y,-z'
'x,-y,-z'
'-x,y,z'
'-x,y,-z'
'x,-y,z'
loop_
_atom_site_label
_atom_site_type_symbol
_atom_site_fract_x
_atom_site_fract_y
_atom_site_fract_z
Y1 Y 0.000 0.000 0.000
Te1 Te 0.000 0.500 0.500
P1 P 0.500 0.000 0.500
P2 P 0.500 0.500 0.000